# 1
Dy2SnAs PBE relaxed; ΔE to the lowest computed polymorph = 0.000 eV per atom; ΔE_f = -1.1072 eV/atom; SG = Cmcm (63)
1.0
2.162 -11.556 0.000
2.162 11.556 0.000
0.000 0.000 4.211
Dy Sn As
4 2 2
Direct
0.068 0.932 0.750
0.311 0.689 0.750
0.689 0.311 0.250
0.932 0.068 0.250
0.453 0.547 0.750
0.547 0.453 0.250
0.189 0.811 0.750
0.811 0.189 0.250

***

# 2
Li2Er2Pd3 PBE relaxed; ΔE_f = -0.6489 eV/atom; SG = C2/m (12)
1.0
4.156 -2.397 0.000
4.156 2.397 0.000
-2.780 0.000 6.995
Li Er Pd
2 2 3
Direct
0.132 0.132 0.397
0.868 0.868 0.603
0.389 0.389 0.167
0.611 0.611 0.833
0.000 0.000 0.000
0.255 0.255 0.765
0.745 0.745 0.235